MgNi2As (GGA-PBE, relaxed); formation enthalpy at 0 K = -0.1 eV per formula unit; total moment = 0.00 μB per formula unit; raw total energy = -4.471 eV/atom; DOS at the Fermi energy = 2.69 states/eV/f.u.
1.0
2.740 -4.071 0.000
2.740 4.071 0.000
-1.280 0.000 2.484
Mg Ni As
1 2 1
direct
0.000 0.000 0.000 Mg
0.000 0.500 0.500 Ni
0.500 0.000 0.500 Ni
0.500 0.500 0.000 As